This record from OQMD via LeMat-Bulk describes a relaxed BeCdSO crystal. The functional is PBE.

## Properties
Offset from the most stable computed form, eV per atom: 0.105

Unit cell a=5.1992 b=7.1057 c=12.3707 alpha=90.00 beta=90.00 gamma=90.00
Closest atoms and distances in Å follow each position.
Positions (direct):
Be (0.1511, 0.1284, 0.1987)  2 O 1.55-1.59
Be (0.1511, 0.3716, 0.6987)  2 O 1.55-1.59
Be (0.3489, 0.6284, 0.1987)  2 O 1.55-1.59
Be (0.3489, 0.8716, 0.6987)  2 O 1.55-1.59
Be (0.6511, 0.1284, 0.3013)  2 O 1.55-1.59
Be (0.6511, 0.3716, 0.8013)  2 O 1.55-1.59
Be (0.8489, 0.6284, 0.3013)  2 O 1.55-1.59
Be (0.8489, 0.8716, 0.8013)  2 O 1.55-1.59
Cd (0.2465, 0.6205, 0.9130)  2 O 2.35-2.36, 2 S 2.60
Cd (0.2465, 0.8795, 0.4130)  2 O 2.35-2.36, 2 S 2.60
Cd (0.2535, 0.1205, 0.9130)  2 O 2.35-2.36, 2 S 2.60
Cd (0.2535, 0.3795, 0.4130)  2 O 2.35-2.36, 2 S 2.60
Cd (0.7465, 0.6205, 0.5870)  2 O 2.35-2.36, 2 S 2.60
Cd (0.7465, 0.8795, 0.0870)  2 O 2.35-2.36, 2 S 2.60
Cd (0.7535, 0.1205, 0.5870)  2 O 2.35-2.36, 2 S 2.60
Cd (0.7535, 0.3795, 0.0870)  2 O 2.35-2.36, 2 S 2.60
S (0.2467, 0.6220, 0.5889)  2 Be 2.29-2.30
S (0.2467, 0.8780, 0.0889)  2 Be 2.29-2.30
S (0.2533, 0.1220, 0.5889)  2 Be 2.29-2.30
S (0.2533, 0.3780, 0.0889)  2 Be 2.29-2.30
S (0.7467, 0.6220, 0.9111)  2 Be 2.29-2.30
S (0.7467, 0.8780, 0.4111)  2 Be 2.29-2.30
S (0.7533, 0.1220, 0.9111)  2 Be 2.29-2.30
S (0.7533, 0.3780, 0.4111)  2 Be 2.29-2.30
O (0.1548, 0.6295, 0.2943)  2 Be 1.55-1.59
O (0.1548, 0.8705, 0.7943)  2 Be 1.55-1.59
O (0.3452, 0.1295, 0.2943)  2 Be 1.55-1.59
O (0.3452, 0.3705, 0.7943)  2 Be 1.55-1.59
O (0.6548, 0.6295, 0.2057)  2 Be 1.55-1.59
O (0.6548, 0.8705, 0.7057)  2 Be 1.55-1.59
O (0.8452, 0.1295, 0.2057)  2 Be 1.55-1.59
O (0.8452, 0.3705, 0.7057)  2 Be 1.55-1.59